This record from Alexandria describes a relaxed LaPr3Y2P6 crystal. The functional is GGA-PBE.

Formation energy from the elements, eV per atom: -1.549

The structure in extended XYZ format:
```
12
Lattice="3.599 -6.233 0.000 3.599 6.233 0.000 -2.399 0.000 6.784" Properties=species:S:1:pos:R:3 pbc="T T T"
La 0.000 0.000 0.000
Pr 2.400 4.168 3.392
Pr 2.400 0.000 3.392
Pr 2.400 -4.168 3.392
Y 3.599 2.082 0.000
Y 3.599 -2.082 0.000
P 1.225 2.121 1.653
P 0.050 0.000 5.138
P 1.225 -2.121 1.653
P 3.575 2.121 5.131
P 4.749 0.000 1.646
P 3.575 -2.121 5.131
```

***

This record from Alexandria describes a relaxed CeTh2Si2 crystal. The functional is GGA-PBE.

Formation energy without anion corrections, eV/f.u.: -3.15
Polymorph energy (0 for the lowest one), meV/atom: 0

The structure in extended XYZ format:
```
10
Lattice="7.759 0.000 0.000 0.000 7.759 0.000 0.000 0.000 4.160" Properties=species:S:1:pos:R:3 pbc="T T T"
Ce 0.000 0.000 0.000
Ce 3.880 3.880 0.000
Th 1.410 2.470 2.080
Th 2.470 6.350 2.080
Th 5.289 1.410 2.080
Th 6.350 5.289 2.080
Si 0.875 4.755 0.000
Si 3.005 0.875 0.000
Si 4.755 6.884 0.000
Si 6.884 3.005 0.000
```

***

This record from Alexandria describes a relaxed Mg2AlIn crystal. The functional is GGA-PBE.

Formation energy from the elements, eV per atom: 0.076

The structure in extended XYZ format:
```
4
Lattice="0.000 3.533 3.533 3.533 0.000 3.533 3.533 3.533 0.000" Properties=species:S:1:pos:R:3 pbc="T T T"
Mg 0.000 0.000 0.000
Mg 1.766 1.766 1.766
Al 3.533 3.533 3.533
In 5.299 5.299 5.299
```

***

This record from Alexandria describes a relaxed LaRe2Au2 crystal. The functional is GGA-PBE.

Formation energy from the elements, eV per atom: 0.434
Polymorph energy (0 for the lowest one), meV/atom: 273

The structure in extended XYZ format:
```
10
Lattice="8.394 0.000 0.000 0.000 8.394 0.000 0.000 0.000 2.766" Properties=species:S:1:pos:R:3 pbc="T T T"
La 0.000 0.000 0.000
La 4.197 4.197 0.000
Re 0.905 3.293 1.383
Re 3.293 7.490 1.383
Re 5.102 0.905 1.383
Re 7.490 5.102 1.383
Au 1.539 5.736 0.000
Au 2.658 1.539 0.000
Au 5.736 6.856 0.000
Au 6.856 2.658 0.000
```

***

This record from Alexandria describes a relaxed V4InSe8 crystal. The functional is GGA-PBE.

Formation energy without anion corrections, eV/f.u.: -9.07
Polymorph energy (0 for the lowest one), meV/atom: 0

The structure in extended XYZ format:
```
13
Lattice="0.000 5.204 5.204 5.204 0.000 5.204 5.204 5.204 0.000" Properties=species:S:1:pos:R:3 pbc="T T T"
V 1.080 1.080 1.080
V 4.124 4.124 1.080
V 4.124 1.080 4.124
V 1.080 4.124 4.124
In 5.204 5.204 5.204
Se 3.721 3.721 3.721
Se 6.686 6.686 3.721
Se 6.686 3.721 6.686
Se 9.061 6.549 6.549
Se 6.549 9.061 6.549
Se 6.549 6.549 9.061
Se 9.061 9.061 9.061
Se 3.721 6.686 6.686
```

***

This record from Alexandria describes a relaxed MgIn2Cl8 crystal. The functional is GGA-PBE.

Formation energy without anion corrections, eV/f.u.: -13.67
Polymorph energy (0 for the lowest one), meV/atom: 8

The structure in extended XYZ format:
```
11
Lattice="5.903 -5.123 0.000 5.903 5.123 0.000 -0.533 0.000 6.256" Properties=species:S:1:pos:R:3 pbc="T T T"
Mg 0.000 0.000 0.000
In 2.133 0.000 3.995
In 9.139 0.000 2.261
Cl 4.687 3.376 1.365
Cl 2.066 0.000 1.574
Cl 6.586 3.376 4.891
Cl 4.354 0.000 4.672
Cl 6.918 0.000 1.584
Cl 4.687 -3.376 1.365
Cl 9.206 0.000 4.682
Cl 6.586 -3.376 4.891
```

***

This record from Alexandria describes a relaxed Zn5Mo crystal. The functional is GGA-PBE.

Formation energy from the elements, eV per atom: 0.085
Polymorph energy (0 for the lowest one), meV/atom: 60

The structure in extended XYZ format:
```
6
Lattice="4.568 0.000 0.000 0.000 1.381 7.119 0.000 -1.381 7.119" Properties=species:S:1:pos:R:3 pbc="T T T"
Zn 0.000 0.000 0.000
Zn 0.000 0.000 4.705
Zn 0.000 0.000 9.427
Zn 2.284 0.000 6.326
Zn 2.284 0.000 11.081
Mo 2.284 0.000 1.573
```

***

This record from Alexandria describes a relaxed MgIr3Rh6 crystal. The functional is GGA-PBE.

Formation energy from the elements, eV per atom: 0.164

The structure in extended XYZ format:
```
20
Lattice="3.908 -4.564 0.000 3.908 4.564 0.000 0.000 0.000 8.935" Properties=species:S:1:pos:R:3 pbc="T T T"
Mg 3.908 2.421 4.467
Mg 3.908 -2.421 0.000
Ir 3.908 4.059 8.466
Ir 2.536 0.257 8.579
Ir 2.536 -0.257 4.111
Ir 5.279 0.257 8.579
Ir 5.279 -0.257 4.111
Ir 3.908 -4.059 3.998
Rh 5.625 -2.553 2.756
Rh 2.190 2.553 7.223
Rh 1.313 0.380 6.254
Rh 1.313 -0.380 1.787
Rh 3.908 1.955 1.253
Rh 3.908 0.571 6.381
Rh 5.625 2.553 7.223
Rh 2.190 -2.553 2.756
Rh 3.908 -0.571 1.913
Rh 3.908 -1.955 5.721
Rh 6.502 0.380 6.254
Rh 6.502 -0.380 1.787
```